Density functional theory data (GGA+U) for an optimized crystal structure of Li2CrFeO4.

Cell and atoms, written as POSCAR:
```
Li2CrFeO4
1.0
2.154 -2.009 4.275
-4.895 -1.178 0.980
2.173 -4.409 -3.169
Cr Li Fe O
2 4 2 8
direct
0.750 0.500 0.127 Cr
0.250 0.500 0.873 Cr
0.000 0.000 0.000 Li
0.500 0.992 0.743 Li
0.500 0.008 0.257 Li
0.000 0.000 0.500 Li
0.750 0.500 0.623 Fe
0.250 0.500 0.377 Fe
0.132 0.732 0.681 O
0.382 0.278 0.074 O
0.369 0.269 0.563 O
0.883 0.279 0.817 O
0.618 0.722 0.926 O
0.868 0.268 0.319 O
0.117 0.721 0.183 O
0.631 0.731 0.437 O
```

Calculated values
**Final energy**: -6.388 eV/atom
**Symmetry**: No. 2